Entry 1:
Density functional theory data (PBE) for crystalline NdEuLu2 at its relaxed geometry.

- Calculated volume: 33.1 Å³ per atom
- DOS(E_F): 1.46 states/eV per atom
- ΔE to the lowest computed polymorph: 62 meV per atom
- ΔE_f: 132.9 meV/atom
- Electronic total energy: -0.2164 hartree per atom

a b c (Å): 5.7186 5.7186 5.7186
angles (deg): 60.00 60.00 60.00
Last column: nearest neighbours and their distance in Å.
Positions (direct):
Lu  0.2500  0.2500  0.2500  4 Nd 3.50, 4 Eu 3.50
Lu  0.7500  0.7500  0.7500  4 Nd 3.50, 4 Eu 3.50
Eu  0.0000  0.0000  0.0000  8 Lu 3.50
Nd  0.5000  0.5000  0.5000  8 Lu 3.50

---

Entry 2:
Density functional theory data (PBE) for crystalline NdEuLu2 at its relaxed geometry.

- Calculated volume: 33.4 Å³ per atom
- DOS(E_F): 1.41 states/eV per atom
- ΔE to the lowest computed polymorph: 8 meV per atom
- ΔE_f: 78.5 meV/atom
- Electronic total energy: -0.2184 hartree per atom

a b c (Å): 3.6357 3.6357 10.0923
angles (deg): 90.00 90.00 90.00
Last column: nearest neighbours and their distance in Å.
Positions (direct):
Lu  0.0000  0.0000  0.2378  4 Nd 3.52, 4 Lu 3.64, 4 Eu 3.69
Lu  0.0000  0.0000  0.7622  4 Nd 3.52, 4 Lu 3.64, 4 Eu 3.69
Nd  0.5000  0.5000  0.0000  8 Lu 3.52, 4 Nd 3.64
Eu  0.5000  0.5000  0.5000  4 Eu 3.64, 8 Lu 3.69

---

Entry 3:
Density functional theory data (PBE) for crystalline NdEuLu2 at its relaxed geometry.

- Calculated volume: 32.9 Å³ per atom
- DOS(E_F): 1.22 states/eV per atom
- ΔE to the lowest computed polymorph: 0 meV per atom
- ΔE_f: 70.7 meV/atom
- Electronic total energy: -0.2187 hartree per atom

a b c (Å): 3.5994 3.5994 11.9015
angles (deg): 81.30 81.30 60.00
Last column: nearest neighbours and their distance in Å.
Positions (direct):
Eu  0.0000  0.0000  0.0000  6 Eu 3.60, 6 Lu 3.67
Lu  0.7526  0.7526  0.7422  3 Nd 3.52, 6 Lu 3.60, 3 Eu 3.67
Lu  0.2474  0.2474  0.2578  3 Nd 3.52, 6 Lu 3.60, 3 Eu 3.67
Nd  0.5000  0.5000  0.5000  6 Lu 3.52, 6 Nd 3.60

---

Entry 4:
Density functional theory data (PBE) for crystalline NdEuLu at its relaxed geometry.

- Calculated volume: 34.8 Å³ per atom
- DOS(E_F): 1.27 states/eV per atom
- ΔE_f: 59.4 meV/atom
- Electronic total energy: -0.2375 hartree per atom

a b c (Å): 3.6823 3.6823 8.1198
angles (deg): 103.11 103.11 90.00
Last column: nearest neighbours and their distance in Å.
Positions (direct):
Nd  0.6762  0.6762  0.3525  4 Lu 3.48, 4 Nd 3.68, 4 Eu 3.79
Eu  0.9971  0.9971  0.9942  4 Eu 3.68, 4 Lu 3.69, 4 Nd 3.79
Lu  0.3267  0.3267  0.6534  4 Nd 3.48, 4 Lu 3.68, 4 Eu 3.69